## SrZrAu (PBE)

Data for a relaxed structure of SrZrAu.

## Properties
- Energy above the lowest structure with this stoichiometry: 0.334 eV per atom
- ρ: 7.0 g cm⁻³
- Total DFT energy (no corrections): -4.360 eV per atom
- Energy of formation: 0.14 eV per atom
- Calculated volume: 88.68 Å³/f.u.
- Size of the total moment: 0.1 μB per formula unit

The structure in CIF format:
```
data_SrZrAu
_cell_length_a 5.006
_cell_length_b 5.006
_cell_length_c 5.006
_cell_angle_alpha 60.00
_cell_angle_beta 60.00
_cell_angle_gamma 60.00
_space_group_name_H-M_alt 'P 1'
_space_group_IT_number 1
_space_group_name_Hall 'P 1'
loop_
_atom_site_label
_atom_site_type_symbol
_atom_site_fract_x
_atom_site_fract_y
_atom_site_fract_z
Zr1 Zr 0.500 0.500 0.500
Au1 Au 0.750 0.750 0.750
Sr1 Sr 0.000 0.000 0.000
```